Material: BeCrCoP
Method: DFT, PBE-GGA
State: relaxed

Computed properties:
- SG: Cm (8)
- DFT total energy: -6.649 eV per atom

Cell: 8.440 2.628 3.881 Å, 90.00 107.53 90.00°
Element x y z (fractional)
1 Be 0.000 0.000 0.000
2 Be 0.500 0.500 0.000
3 Cr 0.248 0.000 0.846
4 Cr 0.748 0.500 0.846
5 Co 0.486 0.000 0.488
6 Co 0.986 0.500 0.488
7 P 0.250 0.500 0.342
8 P 0.750 0.000 0.342